No. 1
Compound: Fe5CuNi6
Source: the Alexandria database
Functional: GGA-PBE
Structure: relaxed Values from VASP.

## Properties
Electronic total energy (eV/atom): -6.79
Symmetry: No. 65
Calculated formation energy (meV/atom): -36

Cell and atoms, written as Quantum ESPRESSO input:
```
&SYSTEM
  ibrav = 0, nat = 12, ntyp = 3
/
ATOMIC_SPECIES
Fe 55.84 Fe.upf
Cu 63.55 Cu.upf
Ni 58.69 Ni.upf
CELL_PARAMETERS angstrom
1.777 -5.366 0.000
1.777 5.366 0.000
0.000 0.000 7.118
ATOMIC_POSITIONS crystal
Fe 0.000 0.000 0.000
Fe 0.332 0.668 0.000
Fe 0.333 0.667 0.500
Fe 0.667 0.333 0.500
Fe 0.668 0.332 0.000
Cu 0.000 0.000 0.500
Ni 0.167 0.833 0.249
Ni 0.167 0.833 0.751
Ni 0.500 0.500 0.249
Ni 0.500 0.500 0.751
Ni 0.833 0.167 0.249
Ni 0.833 0.167 0.751
```

---

No. 2
Compound: AlV4Mo5
Source: the Alexandria database
Functional: GGA-PBE
Structure: relaxed Values from VASP.

## Properties
Electronic total energy (eV/atom): -9.26
Symmetry: No. 12
Calculated formation energy (meV/atom): 174

Cell and atoms, written as Quantum ESPRESSO input:
```
&SYSTEM
  ibrav = 0, nat = 10, ntyp = 3
/
ATOMIC_SPECIES
Al 26.98 Al.upf
V 50.94 V.upf
Mo 95.94 Mo.upf
CELL_PARAMETERS angstrom
6.855 -2.146 0.000
6.855 2.146 0.000
-0.211 0.000 5.251
ATOMIC_POSITIONS crystal
Al 0.000 0.000 0.000
V 0.185 0.185 0.898
V 0.449 0.449 0.270
V 0.551 0.551 0.730
V 0.815 0.815 0.102
Mo 0.000 0.000 0.500
Mo 0.271 0.271 0.364
Mo 0.369 0.369 0.819
Mo 0.631 0.631 0.181
Mo 0.729 0.729 0.636
```

---

No. 3
Compound: CdCo
Source: the Alexandria database
Functional: GGA-PBE
Structure: relaxed Values from VASP.

## Properties
Electronic total energy (eV/atom): -3.62
Symmetry: No. 141
Calculated formation energy (meV/atom): 393

Cell and atoms, written as Quantum ESPRESSO input:
```
&SYSTEM
  ibrav = 0, nat = 8, ntyp = 2
/
ATOMIC_SPECIES
Cd 112.41 Cd.upf
Co 58.93 Co.upf
CELL_PARAMETERS angstrom
3.993 0.000 0.000
0.000 3.993 0.000
0.000 0.000 7.784
ATOMIC_POSITIONS crystal
Cd 0.000 0.250 0.375
Cd 0.000 0.750 0.625
Cd 0.500 0.250 0.125
Cd 0.500 0.750 0.875
Co 0.000 0.250 0.875
Co 0.000 0.750 0.125
Co 0.500 0.250 0.625
Co 0.500 0.750 0.375
```

---

No. 4
Compound: Co3H4
Source: the Alexandria database
Functional: GGA-PBE
Structure: relaxed Values from VASP.

## Properties
Electronic total energy (eV/atom): -4.85
Symmetry: No. 221

Cell and atoms, written as Quantum ESPRESSO input:
```
&SYSTEM
  ibrav = 0, nat = 7, ntyp = 2
/
ATOMIC_SPECIES
Co 58.93 Co.upf
H 1.01 H.upf
CELL_PARAMETERS angstrom
3.575 0.000 0.000
0.000 3.575 0.000
0.000 0.000 3.575
ATOMIC_POSITIONS crystal
Co 0.000 0.000 0.500
Co 0.000 0.500 0.000
Co 0.500 0.000 0.000
H 0.000 0.000 0.000
H 0.000 0.500 0.500
H 0.500 0.000 0.500
H 0.500 0.500 0.000
```

---

No. 5
Compound: Mg2ZrW
Source: the Alexandria database
Functional: GGA-PBE
Structure: relaxed Values from VASP.

## Properties
Distance to the lowest polymorph of the same formula (eV/f.u.): 0.00
Electronic total energy (eV/atom): -5.97
Symmetry: No. 35
Calculated formation energy (meV/atom): 203

Cell and atoms, written as Quantum ESPRESSO input:
```
&SYSTEM
  ibrav = 0, nat = 8, ntyp = 3
/
ATOMIC_SPECIES
Mg 24.30 Mg.upf
Zr 91.22 Zr.upf
W 183.84 W.upf
CELL_PARAMETERS angstrom
3.479 0.000 0.000
0.000 4.682 0.000
0.000 0.000 9.802
ATOMIC_POSITIONS crystal
Mg 0.000 0.000 0.000
Mg 0.000 0.500 0.264
Mg 0.500 0.000 0.264
Mg 0.500 0.500 0.000
Zr 0.000 0.500 0.726
Zr 0.500 0.000 0.726
W 0.000 0.000 0.497
W 0.500 0.500 0.497
```

---

No. 6
Compound: Ac8Pr6Ho
Source: the Alexandria database
Functional: GGA-PBE
Structure: relaxed Values from VASP.

## Properties
Electronic total energy (eV/atom): -4.18
Symmetry: No. 148
Calculated formation energy (meV/atom): 225

Cell and atoms, written as Quantum ESPRESSO input:
```
&SYSTEM
  ibrav = 0, nat = 15, ntyp = 3
/
ATOMIC_SPECIES
Ac 227.00 Ac.upf
Pr 140.91 Pr.upf
Ho 164.93 Ho.upf
CELL_PARAMETERS angstrom
5.099 2.944 7.188
-5.099 2.944 7.188
0.000 -5.888 7.188
ATOMIC_POSITIONS crystal
Ac 0.090 0.674 0.365
Ac 0.234 0.234 0.234
Ac 0.326 0.635 0.910
Ac 0.365 0.090 0.674
Ac 0.635 0.910 0.326
Ac 0.674 0.365 0.090
Ac 0.766 0.766 0.766
Ac 0.910 0.326 0.635
Pr 0.129 0.436 0.821
Pr 0.179 0.871 0.564
Pr 0.436 0.821 0.129
Pr 0.564 0.179 0.871
Pr 0.821 0.129 0.436
Pr 0.871 0.564 0.179
Ho 0.500 0.500 0.500
```

---

No. 7
Compound: PmTa4N6
Source: the Alexandria database
Functional: GGA-PBE
Structure: relaxed Values from VASP.

## Properties
Electronic total energy (eV/atom): -10.46
Symmetry: No. 63
Formation energy (no corrections) (eV per atom): -1.1762

Cell and atoms, written as Quantum ESPRESSO input:
```
&SYSTEM
  ibrav = 0, nat = 22, ntyp = 3
/
ATOMIC_SPECIES
Pm 145.00 Pm.upf
Ta 180.95 Ta.upf
N 14.01 N.upf
CELL_PARAMETERS angstrom
1.578 -5.161 0.000
1.578 5.161 0.000
0.000 0.000 15.796
ATOMIC_POSITIONS crystal
Pm 0.153 0.847 0.750
Pm 0.847 0.153 0.250
Ta 0.103 0.897 0.129
Ta 0.103 0.897 0.371
Ta 0.354 0.646 0.042
Ta 0.354 0.646 0.458
Ta 0.646 0.354 0.542
Ta 0.646 0.354 0.958
Ta 0.897 0.103 0.629
Ta 0.897 0.103 0.871
N 0.000 0.000 0.000
N 0.000 0.000 0.500
N 0.164 0.836 0.250
N 0.263 0.737 0.593
N 0.263 0.737 0.907
N 0.467 0.533 0.155
N 0.467 0.533 0.345
N 0.533 0.467 0.655
N 0.533 0.467 0.845
N 0.737 0.263 0.093
N 0.737 0.263 0.407
N 0.836 0.164 0.750
```

---

No. 8
Compound: Ge2Pd2I
Source: the Alexandria database
Functional: GGA-PBE
Structure: relaxed Values from VASP.

## Properties
Distance to the lowest polymorph of the same formula (eV/f.u.): 0.34
Electronic total energy (eV/atom): -4.29
Symmetry: No. 127
Formation energy (no corrections) (eV per atom): -0.0557

Cell and atoms, written as Quantum ESPRESSO input:
```
&SYSTEM
  ibrav = 0, nat = 10, ntyp = 3
/
ATOMIC_SPECIES
Ge 72.64 Ge.upf
Pd 106.42 Pd.upf
I 126.90 I.upf
CELL_PARAMETERS angstrom
7.572 0.000 0.000
0.000 7.572 0.000
0.000 0.000 3.508
ATOMIC_POSITIONS crystal
Ge 0.137 0.363 0.000
Ge 0.363 0.863 0.000
Ge 0.637 0.137 0.000
Ge 0.863 0.637 0.000
Pd 0.133 0.633 0.500
Pd 0.367 0.133 0.500
Pd 0.633 0.867 0.500
Pd 0.867 0.367 0.500
I 0.000 0.000 0.500
I 0.500 0.500 0.500
```

---

No. 9
Compound: Nd3ScTl4Te8
Source: the Alexandria database
Functional: GGA-PBE
Structure: relaxed Values from VASP.

## Properties
Electronic total energy (eV/atom): -4.48
Symmetry: No. 166
Formation energy (no corrections) (eV per atom): -1.0263

Cell and atoms, written as Quantum ESPRESSO input:
```
&SYSTEM
  ibrav = 0, nat = 16, ntyp = 4
/
ATOMIC_SPECIES
Nd 144.24 Nd.upf
Sc 44.96 Sc.upf
Tl 204.38 Tl.upf
Te 127.60 Te.upf
CELL_PARAMETERS angstrom
4.499 2.598 8.166
-4.499 2.598 8.166
0.000 -5.195 8.166
ATOMIC_POSITIONS crystal
Nd 0.000 0.500 0.500
Nd 0.500 0.000 0.500
Nd 0.500 0.500 0.000
Sc 0.000 0.000 0.000
Tl 0.000 0.000 0.500
Tl 0.000 0.500 0.000
Tl 0.500 0.000 0.000
Tl 0.500 0.500 0.500
Te 0.229 0.229 0.755
Te 0.229 0.755 0.229
Te 0.245 0.771 0.771
Te 0.259 0.259 0.259
Te 0.741 0.741 0.741
Te 0.755 0.229 0.229
Te 0.771 0.245 0.771
Te 0.771 0.771 0.245
```

---

No. 10
Compound: YCoPb
Source: the Alexandria database
Functional: GGA-PBE
Structure: relaxed Values from VASP.

## Properties
Electronic total energy (eV/atom): -5.90
Symmetry: No. 187
Calculated formation energy (meV/atom): -143

Cell and atoms, written as Quantum ESPRESSO input:
```
&SYSTEM
  ibrav = 0, nat = 3, ntyp = 3
/
ATOMIC_SPECIES
Y 88.91 Y.upf
Co 58.93 Co.upf
Pb 207.20 Pb.upf
CELL_PARAMETERS angstrom
4.582 0.000 0.000
-2.291 3.968 0.000
0.000 0.000 3.611
ATOMIC_POSITIONS crystal
Y 0.000 0.000 0.000
Co 0.667 0.333 0.500
Pb 0.333 0.667 0.500
```

---

No. 11
Compound: KNb2Au
Source: the Alexandria database
Functional: GGA-PBE
Structure: relaxed Values from VASP.

## Properties
Distance to the lowest polymorph of the same formula (eV/f.u.): 0.00
Electronic total energy (eV/atom): -5.17
Symmetry: No. 122
Calculated formation energy (meV/atom): 956

Cell and atoms, written as Quantum ESPRESSO input:
```
&SYSTEM
  ibrav = 0, nat = 16, ntyp = 3
/
ATOMIC_SPECIES
K 39.10 K.upf
Nb 92.91 Nb.upf
Au 196.97 Au.upf
CELL_PARAMETERS angstrom
4.053 0.000 0.000
0.000 4.053 0.000
0.000 0.000 22.038
ATOMIC_POSITIONS crystal
K 0.000 0.000 0.000
K 0.000 0.500 0.250
K 0.500 0.000 0.750
K 0.500 0.500 0.500
Nb 0.211 0.250 0.625
Nb 0.250 0.711 0.875
Nb 0.250 0.789 0.375
Nb 0.289 0.250 0.125
Nb 0.711 0.750 0.125
Nb 0.750 0.211 0.375
Nb 0.750 0.289 0.875
Nb 0.789 0.750 0.625
Au 0.000 0.000 0.500
Au 0.000 0.500 0.750
Au 0.500 0.000 0.250
Au 0.500 0.500 0.000
```

---

No. 12
Compound: Sr2SiW
Source: the Alexandria database
Functional: GGA-PBE
Structure: relaxed Values from VASP.

## Properties
Electronic total energy (eV/atom): -4.54
Symmetry: No. 65
Formation energy (no corrections) (eV per atom): 0.8987

Cell and atoms, written as Quantum ESPRESSO input:
```
&SYSTEM
  ibrav = 0, nat = 8, ntyp = 3
/
ATOMIC_SPECIES
Sr 87.62 Sr.upf
Si 28.09 Si.upf
W 183.84 W.upf
CELL_PARAMETERS angstrom
6.403 0.000 0.000
0.000 9.807 0.000
0.000 0.000 3.056
ATOMIC_POSITIONS crystal
Sr 0.250 0.250 0.000
Sr 0.250 0.750 0.000
Sr 0.750 0.250 0.000
Sr 0.750 0.750 0.000
Si 0.000 0.000 0.500
Si 0.500 0.500 0.500
W 0.000 0.500 0.500
W 0.500 0.000 0.500
```